Computed, not measured: an optimized crystal structure of CuP2Au at the PBE level of DFT.

Values from the calculation:
VASP energy ... -4.10 eV/atom
Magnetization ... 0.00 Bohr magnetons per cell
ΔH_f (0 K) ... 0.4444 eV per atom

CIF file:
```
data_CuP2Au
_cell_length_a 4.004
_cell_length_b 4.004
_cell_length_c 3.845
_cell_angle_alpha 90.00
_cell_angle_beta 90.00
_cell_angle_gamma 90.00
_space_group_name_H-M_alt 'P 4/m m m'
_space_group_IT_number 123
_space_group_name_Hall '-P 4 2'
loop_
_atom_site_label
_atom_site_type_symbol
_atom_site_fract_x
_atom_site_fract_y
_atom_site_fract_z
Cu1 Cu 0.000 0.000 0.000
P1 P 0.000 0.500 0.500
Au1 Au 0.500 0.500 0.000
```

---

Computed, not measured: an optimized crystal structure of CuP2Au at the PBE level of DFT.

Values from the calculation:
VASP energy ... -4.25 eV/atom
Magnetization ... 0.00 Bohr magnetons per cell
ΔH_f (0 K) ... 0.2973 eV per atom

CIF file:
```
data_CuP2Au
_cell_length_a 3.457
_cell_length_b 3.457
_cell_length_c 5.317
_cell_angle_alpha 90.00
_cell_angle_beta 90.00
_cell_angle_gamma 90.00
_space_group_name_H-M_alt 'P 4/m m m'
_space_group_IT_number 123
_space_group_name_Hall '-P 4 2'
loop_
_atom_site_label
_atom_site_type_symbol
_atom_site_fract_x
_atom_site_fract_y
_atom_site_fract_z
Cu1 Cu 0.000 0.000 0.000
P1 P 0.500 0.500 0.200
Au1 Au 0.000 0.000 0.500
```